# 1
First-principles (GGA-PBE) data for a relaxed ZnS3Cl crystal, as listed in the Alexandria database.

Results
Its space group is Pm-3m (221). The calculation puts the energy above the lowest structure with this stoichiometry at 653 kJ/mol of formula units. Its energy is -2.028 eV/atom. The value obtained for the density is 3.2 g/cm3. The calculation puts the density of states at the Fermi level at 3.49 states/eV/f.u.

```
ZnS3Cl
1.0
-2.4637 2.0104 -3.4185
-3.5157 0.7551 2.9778
1.8352 4.1456 1.1154
Cl S Zn
1 3 1
Direct
0.0000 0.0000 0.0000
0.5000 0.0000 0.0000
0.0000 0.0000 0.5000
0.0000 0.5000 0.0000
0.5000 0.5000 0.5000
```

***

# 2
First-principles (GGA-PBE) data for a relaxed BaTl2Pb2 crystal, as listed in the Alexandria database.

Results
Its space group is P2_1/m (11). The calculation puts the energy above the lowest structure with this stoichiometry at 0 kJ/mol of formula units. The formation energy comes out at -228.7 meV/atom. Its energy is -3.043 eV/atom. The value obtained for the density is 8.8 g/cm3. The calculation puts the density of states at the Fermi level at 2.06 states/eV/f.u.

```
BaTl2Pb2
1.0
4.8738 0.0000 0.0000
0.0000 5.7066 0.0338
0.0000 -1.3664 12.9902
Pb Tl Ba
4 4 2
Direct
0.7500 0.2846 0.1340
0.7500 0.7012 0.4870
0.2500 0.2988 0.5130
0.2500 0.7154 0.8660
0.2500 0.2334 0.9803
0.2500 0.8285 0.6392
0.7500 0.7666 0.0197
0.7500 0.1715 0.3608
0.7500 0.2681 0.7508
0.2500 0.7319 0.2492
```

***

# 3
First-principles (GGA-PBE) data for a relaxed Hf2ScHg crystal, as listed in the Alexandria database.

Results
Its space group is R-3m (166). The formation energy comes out at 286.9 meV/atom. Its energy is -6.348 eV/atom. The value obtained for the density is 10.9 g/cm3. The calculation puts the density of states at the Fermi level at 3.90 states/eV/f.u.

```
Hf2ScHg
1.0
-2.9015 1.0174 -0.2884
-1.3699 -0.0044 -2.7677
-5.2308 -9.9809 0.8820
Hg Sc Hf
1 1 2
Direct
0.5000 0.5000 0.5000
0.0000 0.0000 0.0000
0.0904 0.0904 0.7288
0.9096 0.9096 0.2712
```

***

# 4
First-principles (GGA-PBE) data for a relaxed Ca2MgCl crystal, as listed in the Alexandria database.

Results
Its space group is F-43m (216). The calculation puts the energy above the lowest structure with this stoichiometry at 254 kJ/mol of formula units. Its energy is -2.012 eV/atom. The value obtained for the density is 1.7 g/cm3. The calculation puts the density of states at the Fermi level at 3.93 states/eV/f.u.

```
Ca2MgCl
1.0
5.7754 0.0000 0.0000
2.8877 5.0016 0.0000
2.8877 1.6672 4.7156
Mg Ca Cl
1 2 1
Direct
0.7500 0.7500 0.7500
0.2500 0.2500 0.2500
0.0000 0.0000 0.0000
0.5000 0.5000 0.5000
```

***

> Which of these has the highest energy?

Ca2MgCl

***

> Which formula does entry 2 have?

BaTl2Pb2

***

> What is the energy in the fourth record?

-2.012 eV/atom